(1)
# LaZr2 | OQMD | PBE | relaxed
# crystal system: cubic
# SG: Fd-3m (227)
# V: 418 Å³/cell
data_LaZr2
_space_group_name_H-M_alt 'P 1'
_space_group_IT_number 1
_space_group_name_Hall 'P 1'
_cell_length_a 8.394
_cell_length_b 8.394
_cell_length_c 8.394
_cell_angle_alpha 60.00
_cell_angle_beta 60.00
_cell_angle_gamma 60.00
loop_
_atom_site_label
_atom_site_type_symbol
_atom_site_fract_x
_atom_site_fract_y
_atom_site_fract_z
La1 La 0.125 0.125 0.125
La2 La 0.875 0.875 0.875
Zr1 Zr 0.000 0.000 0.000
Zr2 Zr 0.000 0.000 0.500
Zr3 Zr 0.000 0.500 0.000
Zr4 Zr 0.500 0.000 0.000

(2)
# LaZr2 | OQMD | PBE | relaxed
# crystal system: orthorhombic
# SG: Pmmn (59)
# V: 321 Å³/cell
data_LaZr2
_space_group_name_H-M_alt 'P 1'
_space_group_IT_number 1
_space_group_name_Hall 'P 1'
_cell_length_a 5.425
_cell_length_b 10.073
_cell_length_c 5.868
_cell_angle_alpha 90.00
_cell_angle_beta 90.00
_cell_angle_gamma 90.00
loop_
_atom_site_label
_atom_site_type_symbol
_atom_site_fract_x
_atom_site_fract_y
_atom_site_fract_z
La1 La 0.250 0.087 0.095
La2 La 0.250 0.413 0.095
La3 La 0.750 0.587 0.905
La4 La 0.750 0.913 0.905
Zr1 Zr 0.250 0.250 0.604
Zr2 Zr 0.250 0.596 0.558
Zr3 Zr 0.250 0.750 0.097
Zr4 Zr 0.250 0.904 0.558
Zr5 Zr 0.750 0.096 0.442
Zr6 Zr 0.750 0.250 0.903
Zr7 Zr 0.750 0.404 0.442
Zr8 Zr 0.750 0.750 0.396

Which of them is the least stable? Correct choice: (1).

(1)
# LiLuMg | OQMD | PBE | relaxed
# crystal system: cubic
# SG: F-43m (216)
# V: 78 Å³/cell
data_LiLuMg
_space_group_name_H-M_alt 'P 1'
_space_group_IT_number 1
_space_group_name_Hall 'P 1'
_cell_length_a 4.794
_cell_length_b 4.794
_cell_length_c 4.794
_cell_angle_alpha 60.00
_cell_angle_beta 60.00
_cell_angle_gamma 60.00
loop_
_atom_site_label
_atom_site_type_symbol
_atom_site_fract_x
_atom_site_fract_y
_atom_site_fract_z
Li1 Li 0.000 0.000 0.000
Lu1 Lu 0.750 0.750 0.750
Mg1 Mg 0.250 0.250 0.250

(2)
# LiLuMg | OQMD | PBE | relaxed
# crystal system: cubic
# SG: F-43m (216)
# V: 92 Å³/cell
data_LiLuMg
_space_group_name_H-M_alt 'P 1'
_space_group_IT_number 1
_space_group_name_Hall 'P 1'
_cell_length_a 5.076
_cell_length_b 5.076
_cell_length_c 5.076
_cell_angle_alpha 60.00
_cell_angle_beta 60.00
_cell_angle_gamma 60.00
loop_
_atom_site_label
_atom_site_type_symbol
_atom_site_fract_x
_atom_site_fract_y
_atom_site_fract_z
Li1 Li 0.000 0.000 0.000
Lu1 Lu 0.250 0.250 0.250
Mg1 Mg 0.500 0.500 0.500

Which of them is the least stable? Correct choice: (2).

(1)
# LiLuMoOs | OQMD | PBE | relaxed
# crystal system: cubic
# SG: F-43m (216)
# V: 66 Å³/cell
data_LiLuMoOs
_space_group_name_H-M_alt 'P 1'
_space_group_IT_number 1
_space_group_name_Hall 'P 1'
_cell_length_a 4.543
_cell_length_b 4.543
_cell_length_c 4.543
_cell_angle_alpha 60.00
_cell_angle_beta 60.00
_cell_angle_gamma 60.00
loop_
_atom_site_label
_atom_site_type_symbol
_atom_site_fract_x
_atom_site_fract_y
_atom_site_fract_z
Li1 Li 0.000 0.000 0.000
Lu1 Lu 0.250 0.250 0.250
Mo1 Mo 0.750 0.750 0.750
Os1 Os 0.500 0.500 0.500

(2)
# LiLuMoOs | OQMD | PBE | relaxed
# crystal system: cubic
# SG: F-43m (216)
# V: 64 Å³/cell
data_LiLuMoOs
_space_group_name_H-M_alt 'P 1'
_space_group_IT_number 1
_space_group_name_Hall 'P 1'
_cell_length_a 4.499
_cell_length_b 4.499
_cell_length_c 4.499
_cell_angle_alpha 60.00
_cell_angle_beta 60.00
_cell_angle_gamma 60.00
loop_
_atom_site_label
_atom_site_type_symbol
_atom_site_fract_x
_atom_site_fract_y
_atom_site_fract_z
Li1 Li 0.000 0.000 0.000
Lu1 Lu 0.750 0.750 0.750
Mo1 Mo 0.500 0.500 0.500
Os1 Os 0.250 0.250 0.250

(3)
# LiLuMoOs | OQMD | PBE | relaxed
# crystal system: cubic
# SG: F-43m (216)
# V: 67 Å³/cell
data_LiLuMoOs
_space_group_name_H-M_alt 'P 1'
_space_group_IT_number 1
_space_group_name_Hall 'P 1'
_cell_length_a 4.557
_cell_length_b 4.557
_cell_length_c 4.557
_cell_angle_alpha 60.00
_cell_angle_beta 60.00
_cell_angle_gamma 60.00
loop_
_atom_site_label
_atom_site_type_symbol
_atom_site_fract_x
_atom_site_fract_y
_atom_site_fract_z
Li1 Li 0.000 0.000 0.000
Lu1 Lu 0.500 0.500 0.500
Mo1 Mo 0.750 0.750 0.750
Os1 Os 0.250 0.250 0.250

Which of them is the least stable? Correct choice: (3).

(1)
# LiLuNiPb | OQMD | PBE | relaxed
# crystal system: cubic
# SG: F-43m (216)
# V: 78 Å³/cell
data_LiLuNiPb
_space_group_name_H-M_alt 'P 1'
_space_group_IT_number 1
_space_group_name_Hall 'P 1'
_cell_length_a 4.793
_cell_length_b 4.793
_cell_length_c 4.793
_cell_angle_alpha 60.00
_cell_angle_beta 60.00
_cell_angle_gamma 60.00
loop_
_atom_site_label
_atom_site_type_symbol
_atom_site_fract_x
_atom_site_fract_y
_atom_site_fract_z
Li1 Li 0.000 0.000 0.000
Lu1 Lu 0.500 0.500 0.500
Ni1 Ni 0.250 0.250 0.250
Pb1 Pb 0.750 0.750 0.750

(2)
# LiLuNiPb | OQMD | PBE | relaxed
# crystal system: cubic
# SG: F-43m (216)
# V: 75 Å³/cell
data_LiLuNiPb
_space_group_name_H-M_alt 'P 1'
_space_group_IT_number 1
_space_group_name_Hall 'P 1'
_cell_length_a 4.729
_cell_length_b 4.729
_cell_length_c 4.729
_cell_angle_alpha 60.00
_cell_angle_beta 60.00
_cell_angle_gamma 60.00
loop_
_atom_site_label
_atom_site_type_symbol
_atom_site_fract_x
_atom_site_fract_y
_atom_site_fract_z
Li1 Li 0.000 0.000 0.000
Lu1 Lu 0.750 0.750 0.750
Ni1 Ni 0.250 0.250 0.250
Pb1 Pb 0.500 0.500 0.500

(3)
# LiLuNiPb | OQMD | PBE | relaxed
# crystal system: cubic
# SG: F-43m (216)
# V: 70 Å³/cell
data_LiLuNiPb
_space_group_name_H-M_alt 'P 1'
_space_group_IT_number 1
_space_group_name_Hall 'P 1'
_cell_length_a 4.636
_cell_length_b 4.636
_cell_length_c 4.636
_cell_angle_alpha 60.00
_cell_angle_beta 60.00
_cell_angle_gamma 60.00
loop_
_atom_site_label
_atom_site_type_symbol
_atom_site_fract_x
_atom_site_fract_y
_atom_site_fract_z
Li1 Li 0.000 0.000 0.000
Lu1 Lu 0.750 0.750 0.750
Ni1 Ni 0.500 0.500 0.500
Pb1 Pb 0.250 0.250 0.250

Which of them is the least stable? Correct choice: (2).

(1)
# LiLuSiNi | OQMD | PBE | relaxed
# crystal system: cubic
# SG: F-43m (216)
# V: 58 Å³/cell
data_LiLuSiNi
_space_group_name_H-M_alt 'P 1'
_space_group_IT_number 1
_space_group_name_Hall 'P 1'
_cell_length_a 4.334
_cell_length_b 4.334
_cell_length_c 4.334
_cell_angle_alpha 60.00
_cell_angle_beta 60.00
_cell_angle_gamma 60.00
loop_
_atom_site_label
_atom_site_type_symbol
_atom_site_fract_x
_atom_site_fract_y
_atom_site_fract_z
Li1 Li 0.000 0.000 0.000
Lu1 Lu 0.250 0.250 0.250
Si1 Si 0.750 0.750 0.750
Ni1 Ni 0.500 0.500 0.500

(2)
# LiLuSiNi | OQMD | PBE | relaxed
# crystal system: cubic
# SG: F-43m (216)
# V: 65 Å³/cell
data_LiLuSiNi
_space_group_name_H-M_alt 'P 1'
_space_group_IT_number 1
_space_group_name_Hall 'P 1'
_cell_length_a 4.503
_cell_length_b 4.503
_cell_length_c 4.503
_cell_angle_alpha 60.00
_cell_angle_beta 60.00
_cell_angle_gamma 60.00
loop_
_atom_site_label
_atom_site_type_symbol
_atom_site_fract_x
_atom_site_fract_y
_atom_site_fract_z
Li1 Li 0.000 0.000 0.000
Lu1 Lu 0.500 0.500 0.500
Si1 Si 0.750 0.750 0.750
Ni1 Ni 0.250 0.250 0.250

(3)
# LiLuSiNi | OQMD | PBE | relaxed
# crystal system: cubic
# SG: F-43m (216)
# V: 60 Å³/cell
data_LiLuSiNi
_space_group_name_H-M_alt 'P 1'
_space_group_IT_number 1
_space_group_name_Hall 'P 1'
_cell_length_a 4.406
_cell_length_b 4.406
_cell_length_c 4.406
_cell_angle_alpha 60.00
_cell_angle_beta 60.00
_cell_angle_gamma 60.00
loop_
_atom_site_label
_atom_site_type_symbol
_atom_site_fract_x
_atom_site_fract_y
_atom_site_fract_z
Li1 Li 0.000 0.000 0.000
Lu1 Lu 0.250 0.250 0.250
Si1 Si 0.500 0.500 0.500
Ni1 Ni 0.750 0.750 0.750

Which of them is the least stable? Correct choice: (2).

(1)
# LiLuNiTe3 | OQMD | PBE | relaxed
# crystal system: monoclinic
# SG: P2_1/m (11)
# V: 323 Å³/cell
data_LiLuNiTe3
_space_group_name_H-M_alt 'P 1'
_space_group_IT_number 1
_space_group_name_Hall 'P 1'
_cell_length_a 8.519
_cell_length_b 4.071
_cell_length_c 9.697
_cell_angle_alpha 90.00
_cell_angle_beta 106.20
_cell_angle_gamma 90.00
loop_
_atom_site_label
_atom_site_type_symbol
_atom_site_fract_x
_atom_site_fract_y
_atom_site_fract_z
Li1 Li 0.187 0.250 0.171
Li2 Li 0.813 0.750 0.829
Lu1 Lu 0.320 0.750 0.842
Lu2 Lu 0.680 0.250 0.158
Ni1 Ni 0.093 0.250 0.591
Ni2 Ni 0.907 0.750 0.409
Te1 Te 0.065 0.250 0.848
Te2 Te 0.215 0.750 0.512
Te3 Te 0.424 0.750 0.167
Te4 Te 0.576 0.250 0.833
Te5 Te 0.785 0.250 0.488
Te6 Te 0.935 0.750 0.152

(2)
# LiLuNiTe3 | OQMD | PBE | relaxed
# crystal system: orthorhombic
# SG: Pnma (62)
# V: 584 Å³/cell
data_LiLuNiTe3
_space_group_name_H-M_alt 'P 1'
_space_group_IT_number 1
_space_group_name_Hall 'P 1'
_cell_length_a 12.075
_cell_length_b 4.096
_cell_length_c 11.803
_cell_angle_alpha 90.00
_cell_angle_beta 90.00
_cell_angle_gamma 90.00
loop_
_atom_site_label
_atom_site_type_symbol
_atom_site_fract_x
_atom_site_fract_y
_atom_site_fract_z
Li1 Li 0.232 0.250 0.054
Li2 Li 0.268 0.750 0.554
Li3 Li 0.732 0.250 0.446
Li4 Li 0.768 0.750 0.946
Lu1 Lu 0.052 0.250 0.300
Lu2 Lu 0.448 0.750 0.800
Lu3 Lu 0.552 0.250 0.200
Lu4 Lu 0.948 0.750 0.700
Ni1 Ni 0.241 0.750 0.229
Ni2 Ni 0.259 0.250 0.729
Ni3 Ni 0.741 0.750 0.271
Ni4 Ni 0.759 0.250 0.771
Te1 Te 0.069 0.750 0.114
Te2 Te 0.096 0.250 0.580
Te3 Te 0.191 0.750 0.828
Te4 Te 0.309 0.250 0.328
Te5 Te 0.404 0.750 0.080
Te6 Te 0.431 0.250 0.614
Te7 Te 0.569 0.750 0.386
Te8 Te 0.596 0.250 0.920
Te9 Te 0.691 0.750 0.672
Te10 Te 0.809 0.250 0.172
Te11 Te 0.904 0.750 0.420
Te12 Te 0.931 0.250 0.886

Which of them is the least stable? Correct choice: (2).

(1)
# LiLuZnNi | OQMD | PBE | relaxed
# crystal system: cubic
# SG: F-43m (216)
# V: 64 Å³/cell
data_LiLuZnNi
_space_group_name_H-M_alt 'P 1'
_space_group_IT_number 1
_space_group_name_Hall 'P 1'
_cell_length_a 4.484
_cell_length_b 4.484
_cell_length_c 4.484
_cell_angle_alpha 60.00
_cell_angle_beta 60.00
_cell_angle_gamma 60.00
loop_
_atom_site_label
_atom_site_type_symbol
_atom_site_fract_x
_atom_site_fract_y
_atom_site_fract_z
Li1 Li 0.000 0.000 0.000
Lu1 Lu 0.750 0.750 0.750
Zn1 Zn 0.250 0.250 0.250
Ni1 Ni 0.500 0.500 0.500

(2)
# LiLuZnNi | OQMD | PBE | relaxed
# crystal system: cubic
# SG: F-43m (216)
# V: 64 Å³/cell
data_LiLuZnNi
_space_group_name_H-M_alt 'P 1'
_space_group_IT_number 1
_space_group_name_Hall 'P 1'
_cell_length_a 4.479
_cell_length_b 4.479
_cell_length_c 4.479
_cell_angle_alpha 60.00
_cell_angle_beta 60.00
_cell_angle_gamma 60.00
loop_
_atom_site_label
_atom_site_type_symbol
_atom_site_fract_x
_atom_site_fract_y
_atom_site_fract_z
Li1 Li 0.000 0.000 0.000
Lu1 Lu 0.250 0.250 0.250
Zn1 Zn 0.500 0.500 0.500
Ni1 Ni 0.750 0.750 0.750

Which of them is the least stable? Correct choice: (2).

(1)
# Li8Lu4O11 | OQMD | PBE | relaxed
# crystal system: triclinic
# SG: P1 (1)
# V: 252 Å³/cell
data_Li8Lu4O11
_space_group_name_H-M_alt 'P 1'
_space_group_IT_number 1
_space_group_name_Hall 'P 1'
_cell_length_a 5.095
_cell_length_b 5.516
_cell_length_c 9.382
_cell_angle_alpha 83.67
_cell_angle_beta 75.99
_cell_angle_gamma 80.63
loop_
_atom_site_label
_atom_site_type_symbol
_atom_site_fract_x
_atom_site_fract_y
_atom_site_fract_z
Li1 Li 0.000 0.000 0.000
Li2 Li 0.025 0.274 0.454
Li3 Li 0.078 0.567 0.877
Li4 Li 0.272 0.029 0.694
Li5 Li 0.451 0.502 0.523
Li6 Li 0.506 0.768 0.925
Li7 Li 0.562 0.080 0.402
Li8 Li 0.763 0.460 0.218
Lu1 Lu 0.145 0.770 0.290
Lu2 Lu 0.333 0.307 0.112
Lu3 Lu 0.689 0.269 0.786
Lu4 Lu 0.853 0.774 0.618
O1 O 0.066 0.403 0.659
O2 O 0.146 0.659 0.075
O3 O 0.225 0.909 0.480
O4 O 0.341 0.121 0.921
O5 O 0.389 0.406 0.317
O6 O 0.478 0.640 0.741
O7 O 0.646 0.147 0.581
O8 O 0.733 0.393 0.995
O9 O 0.796 0.651 0.409
O10 O 0.901 0.900 0.821
O11 O 0.979 0.138 0.232

(2)
# Li8Lu4O11 | OQMD | PBE | relaxed
# crystal system: triclinic
# SG: P1 (1)
# V: 252 Å³/cell
data_Li8Lu4O11
_space_group_name_H-M_alt 'P 1'
_space_group_IT_number 1
_space_group_name_Hall 'P 1'
_cell_length_a 5.154
_cell_length_b 5.473
_cell_length_c 9.356
_cell_angle_alpha 85.28
_cell_angle_beta 76.37
_cell_angle_gamma 79.56
loop_
_atom_site_label
_atom_site_type_symbol
_atom_site_fract_x
_atom_site_fract_y
_atom_site_fract_z
Li1 Li 0.000 0.000 0.000
Li2 Li 0.036 0.706 0.557
Li3 Li 0.170 0.262 0.425
Li4 Li 0.344 0.728 0.246
Li5 Li 0.480 0.214 0.112
Li6 Li 0.588 0.474 0.491
Li7 Li 0.642 0.677 0.945
Li8 Li 0.883 0.255 0.720
Lu1 Lu 0.229 0.526 0.828
Lu2 Lu 0.438 0.978 0.650
Lu3 Lu 0.767 0.974 0.329
Lu4 Lu 0.925 0.472 0.165
O1 O 0.070 0.892 0.797
O2 O 0.127 0.093 0.195
O3 O 0.239 0.356 0.628
O4 O 0.309 0.555 0.040
O5 O 0.393 0.851 0.459
O6 O 0.554 0.344 0.291
O7 O 0.630 0.616 0.729
O8 O 0.702 0.845 0.124
O9 O 0.810 0.102 0.540
O10 O 0.891 0.356 0.953
O11 O 0.973 0.602 0.369

Which of them is the least stable? Correct choice: (2).